Crystalline Co2HgO4 at its relaxed geometry, computed with PBE with a Hubbard U.

a = 5.6881 Å, b = 11.5193 Å, c = 4.9103 Å
α = 90.00°, β = 90.00°, γ = 90.00°
Space group Pmmn (No. 59, origin choice 2)
Symmetry-distinct sites (fractional):
Co  0.0000  0.0000  0.0000 (multiplicity 4)
Co  0.2500  0.0057  0.4965 (multiplicity 4)
Hg  0.2500  0.2500  0.8815 (multiplicity 2)
Hg  0.2500  0.7500  0.5725 (multiplicity 2)
O  0.0013  0.0897  0.6668 (multiplicity 8)
O  0.2500  0.0866  0.1547 (multiplicity 4)
O  0.2500  0.5827  0.8231 (multiplicity 4)

## Properties
The total magnetic moment is 0.00 μB/atom. As for the raw total energy: -5.07 eV/atom. The relative energy among the computed polymorphs is 0.0 meV per atom. The value obtained for the density is 7.896 g/cm³.